Record 1
VASP calculation (PBE) on an optimized crystal structure of TaTi8Sb2.

abc: 4.774 7.401 7.108
angles: 121.46 109.62 90.00
Element x y z (fractional)
Ti 0.869 0.824 0.738
Ti 0.131 0.176 0.262
Ti 0.042 0.739 0.083
Ti 0.415 0.559 0.831
Ti 0.958 0.261 0.917
Ti 0.585 0.441 0.169
Ti 0.673 0.885 0.346
Ti 0.327 0.115 0.654
Ta 0.500 0.000 0.000
Sb 0.777 0.342 0.554
Sb 0.223 0.658 0.446

ΔE_f (raw): -0.24 eV/atom
volume: 196.9 Å³/f.u.
D(E_F): 1.290 states/eV/atom
total magnetic moment: 0.00 μB per formula unit
uncorrected energy: -85.89 eV per cell
space-group type: C2/m

***

Record 2
VASP calculation (PBE) on an optimized crystal structure of GdAl2Os.

abc: 4.607 4.607 4.609
angles: 60.01 60.01 60.00
Site moments in Bohr magnetons follow the coordinates.
Element x y z (fractional)
Al 0.750 0.750 0.750  -0.01
Al 0.250 0.250 0.250  -0.01
Os 0.500 0.500 0.500  -0.02
Gd 0.000 0.000 0.000  6.95

E_form: -290 meV per atom
ΔE to the lowest computed polymorph: 0.1037 eV/atom
volume: 69.2 Å³/f.u.
D(E_F): 0.348 states/eV/atom
total magnetic moment: 6.98 μB per formula unit
uncorrected energy: -33.95 eV per cell
space-group type: Fm-3m

***

Record 3
VASP calculation (PBE) on an optimized crystal structure of Ce7PuAu3.

abc: 7.136 7.136 6.030
angles: 74.89 74.89 95.86
Site moments in Bohr magnetons follow the coordinates.
Element x y z (fractional)
Au 0.781 0.294 0.545  0.00
Au 0.294 0.781 0.545  0.00
Au 0.448 0.448 0.885  0.00
Ce 0.598 0.598 0.270  -0.07
Ce 0.807 0.807 0.648  0.07
Ce 0.401 0.016 0.848  0.39
Ce 0.663 0.116 0.151  0.19
Ce 0.016 0.401 0.848  0.39
Ce 0.116 0.663 0.151  0.19
Ce 0.122 0.122 0.339  0.26
Pu 0.880 0.880 0.020  3.41

E_form: -280 meV per atom
volume: 281.4 Å³/f.u.
D(E_F): 2.434 states/eV/atom
total magnetic moment: 4.97 μB per formula unit
uncorrected energy: -68.79 eV per cell
space-group type: Cm

***

Record 4
VASP calculation (PBE) on an optimized crystal structure of Ca2ZnSi.

abc: 5.125 5.125 5.125
angles: 60.00 60.00 60.00
Element x y z (fractional)
Ca 0.250 0.250 0.250
Ca 0.000 0.000 0.000
Zn 0.750 0.750 0.750
Si 0.500 0.500 0.500

ΔE to the lowest computed polymorph: 0.4971 eV/atom
ΔE_f (raw): 0.10 eV/atom
volume: 95.2 Å³/f.u.
D(E_F): 1.016 states/eV/atom
total magnetic moment: 0.00 μB per formula unit
uncorrected energy: -10.31 eV per cell
space-group type: F-43m

***

Record 5
VASP calculation (PBE) on an optimized crystal structure of LiHfO.

abc: 8.537 3.122 5.443
angles: 90.00 101.88 90.00
Element x y z (fractional)
Hf 0.851 0.000 0.114
Hf 0.149 0.000 0.886
Hf 0.149 0.500 0.386
Hf 0.851 0.500 0.614
Li 0.587 0.000 0.362
Li 0.587 0.500 0.862
Li 0.413 0.500 0.138
Li 0.413 0.000 0.638
O 0.336 0.000 0.281
O 0.664 0.000 0.719
O 0.336 0.500 0.781
O 0.664 0.500 0.219

ΔE to the lowest computed polymorph: 0.0734 eV/atom
ΔE_f (raw): -1.70 eV/atom
volume: 35.5 Å³/f.u.
D(E_F): 0.219 states/eV/atom
total magnetic moment: 0.00 μB per formula unit
uncorrected energy: -87.73 eV per cell
space-group type: C2/m

***

Record 6
VASP calculation (PBE) on an optimized crystal structure of ReAgAs2.

abc: 8.364 8.364 8.364
angles: 21.85 21.85 21.85
Element x y z (fractional)
As 0.989 0.989 0.989
As 0.511 0.511 0.511
Ag 0.750 0.750 0.750
Re 0.250 0.250 0.250

E_form: 151 meV per atom
ΔE to the lowest computed polymorph: 0.0000 eV/atom
volume: 71.1 Å³/f.u.
D(E_F): 0.498 states/eV/atom
total magnetic moment: 0.00 μB per formula unit
uncorrected energy: -24.00 eV per cell
space-group type: R-3m

***

Record 7
VASP calculation (PBE) on an optimized crystal structure of TbTm4Cu2.

abc: 4.745 4.745 10.207
angles: 76.56 76.56 60.00
Element x y z (fractional)
Tm 0.300 0.300 0.100
Tm 0.700 0.700 0.900
Tm 0.097 0.097 0.708
Tm 0.903 0.903 0.292
Cu 0.399 0.399 0.804
Cu 0.601 0.601 0.196
Tb 0.500 0.500 0.500

E_form: 140 meV per atom
volume: 191.7 Å³/f.u.
D(E_F): 1.183 states/eV/atom
total magnetic moment: 0.00 μB per formula unit
uncorrected energy: -29.73 eV per cell
space-group type: R-3m

***

Record 8
VASP calculation (PBE) on an optimized crystal structure of Na3Cd2Bi3.

abc: 3.715 8.474 16.096
angles: 90.00 90.00 102.66
Element x y z (fractional)
Bi 0.621 0.242 0.440
Bi 0.362 0.725 0.250
Bi 0.621 0.242 0.060
Bi 0.379 0.758 0.560
Bi 0.638 0.275 0.750
Bi 0.379 0.758 0.940
Na 0.309 0.618 0.750
Na 0.954 0.908 0.107
Na 0.691 0.382 0.250
Na 0.046 0.092 0.607
Na 0.046 0.092 0.893
Na 0.954 0.908 0.393
Cd 0.732 0.463 0.590
Cd 0.268 0.537 0.090
Cd 0.268 0.537 0.410
Cd 0.732 0.463 0.910

E_form: -226 meV per atom
volume: 247.2 Å³/f.u.
D(E_F): 0.242 states/eV/atom
total magnetic moment: 0.00 μB per formula unit
uncorrected energy: -38.48 eV per cell
space-group type: Cmcm